First-principles (PBE-GGA) data for a relaxed TaAlRu crystal, as listed in the Alexandria database.

Unit cell a=10.750 b=10.750 c=10.750 alpha=163.77 beta=163.77 gamma=23.02
Fractional positions:
Ta: 0.065 0.065 0.000
Ta: 0.935 0.935 0.000
Al: 0.210 0.210 0.000
Al: 0.790 0.790 0.000
Ru: 0.355 0.355 0.000
Ru: 0.645 0.645 0.000

Properties
Spin magnetization   0.0 μB per cell
V   48 Å³/f.u.
Formation energy from the elements   -0.63 eV per formula unit
Energy   -8.50 eV/atom